Compound: Te2Pd7I2
Source: Alexandria via LeMat-Bulk
Functional: GGA-PBE
Structure: optimized geometry

ΔE_f (raw) = 0.0037 eV/atom
calculated density = 7.08 g/cm³
crystal system = monoclinic

Lattice parameters (Å, degrees): 8.633 10.928 7.554 90.00 124.36 90.00
Space group C2/m (No. 12)
Asymmetric unit:
Te 0.000 0.206 0.000 [4 per cell]
Pd 0.000 0.500 0.500 [2 per cell]
Pd 0.094 0.000 0.218 [4 per cell]
Pd 0.227 0.141 0.884 [8 per cell]
I 0.209 0.500 0.357 [4 per cell]

=====

Compound: Te2Pd5I2
Source: Alexandria via LeMat-Bulk
Functional: GGA-PBE
Structure: optimized geometry

ΔE_f (raw) = -0.1784 eV/atom
calculated density = 7.92 g/cm³
crystal system = monoclinic

Lattice parameters (Å, degrees): 14.405 4.244 7.441 90.00 106.23 90.00
Space group C2/m (No. 12)
Asymmetric unit:
Te 0.110 0.000 0.386 [4 per cell]
Pd 0.000 0.500 0.500 [2 per cell]
Pd 0.088 0.000 0.727 [4 per cell]
Pd 0.219 0.500 0.349 [4 per cell]
I 0.131 0.500 0.960 [4 per cell]

=====

Compound: Te3PdI
Source: Alexandria via LeMat-Bulk
Functional: GGA-PBE
Structure: optimized geometry

E above lowest polymorph = 470 meV per atom
ΔE_f (raw) = 0.3043 eV/atom
calculated density = 6.72 g/cm³
crystal system = cubic

Lattice parameters (Å, degrees): 5.339 5.339 5.339 90.00 90.00 90.00
Space group Pm-3m (No. 221)
Asymmetric unit:
Te 0.000 0.000 0.500 [3 per cell]
Pd 0.000 0.000 0.000 [1 per cell]
I 0.500 0.500 0.500 [1 per cell]

=====

Compound: TePd2I
Source: Alexandria via LeMat-Bulk
Functional: GGA-PBE
Structure: optimized geometry

E above lowest polymorph = 368 meV per atom
ΔE_f (raw) = 0.1951 eV/atom
calculated density = 9.06 g/cm³
crystal system = cubic

Lattice parameters (Å, degrees): 6.998 6.998 6.998 90.00 90.00 90.00
Space group Fm-3m (No. 225)
Asymmetric unit:
Te 0.000 0.000 0.000 [4 per cell]
Pd 0.250 0.250 0.250 [8 per cell]
I 0.000 0.000 0.500 [4 per cell]

=====

Compound: Te3PdI
Source: Alexandria via LeMat-Bulk
Functional: GGA-PBE
Structure: optimized geometry

E above lowest polymorph = 0 meV per atom
ΔE_f (raw) = -0.1653 eV/atom
calculated density = 5.63 g/cm³
crystal system = orthorhombic

Lattice parameters (Å, degrees): 15.312 13.439 7.061 90.00 90.00 90.00
Space group Cmce (No. 64)
Asymmetric unit:
Te 0.000 0.009 0.200 [8 per cell]
Te 0.115 0.184 0.233 [16 per cell]
Pd 0.000 0.245 0.485 [8 per cell]
I 0.250 0.138 0.750 [8 per cell]

=====

Compound: TePd2I
Source: Alexandria via LeMat-Bulk
Functional: GGA-PBE
Structure: optimized geometry

E above lowest polymorph = 0 meV per atom
ΔE_f (raw) = -0.1727 eV/atom
calculated density = 7.43 g/cm³
crystal system = monoclinic

Lattice parameters (Å, degrees): 13.561 3.896 4.082 90.00 104.46 90.00
Space group Cm (No. 8)
Asymmetric unit:
Te 0.000 0.000 0.000 [2 per cell]
Pd 0.139 0.500 0.137 [2 per cell]
Pd 0.480 0.000 0.491 [2 per cell]
I 0.274 0.000 0.395 [2 per cell]

=====

Compound: Te3Pd2I
Source: Alexandria via LeMat-Bulk
Functional: GGA-PBE
Structure: optimized geometry

ΔE_f (raw) = -0.2383 eV/atom
calculated density = 6.98 g/cm³
crystal system = monoclinic

Lattice parameters (Å, degrees): 14.656 8.058 5.875 90.00 97.63 90.00
Space group C2/m (No. 12)
Asymmetric unit:
Te 0.100 0.238 0.213 [8 per cell]
Te 0.152 0.500 0.789 [4 per cell]
Pd 0.000 0.000 0.000 [2 per cell]
Pd 0.000 0.500 0.000 [2 per cell]
Pd 0.250 0.250 0.000 [4 per cell]
I 0.172 0.000 0.642 [4 per cell]

=====

Compound: Te2Pd2I
Source: Alexandria via LeMat-Bulk
Functional: GGA-PBE
Structure: optimized geometry

E above lowest polymorph = 64 meV per atom
ΔE_f (raw) = -0.1877 eV/atom
calculated density = 7.28 g/cm³
crystal system = tetragonal

Lattice parameters (Å, degrees): 4.122 4.122 15.975 90.00 90.00 90.00
Space group I4/mmm (No. 139)
Asymmetric unit:
Te 0.000 0.000 0.143 [4 per cell]
Pd 0.000 0.500 0.250 [4 per cell]
I 0.000 0.000 0.500 [2 per cell]